# FeSi3Pd | Alexandria | GGA-PBE | optimized geometry
data_FeSi3Pd
_chemical_formula_sum 'Fe1 Si3 Pd1'
_space_group_name_H-M_alt 'P 1'
_space_group_IT_number 1
_cell_length_a 4.314
_cell_length_b 4.314
_cell_length_c 4.314
_cell_angle_alpha 90.00
_cell_angle_beta 90.00
_cell_angle_gamma 90.00
loop_
_space_group_symop_operation_xyz
'x,y,z'
loop_
_atom_site_label
_atom_site_type_symbol
_atom_site_fract_x
_atom_site_fract_y
_atom_site_fract_z
Si1 Si 0.000 0.500 0.000
Si2 Si 0.000 0.000 0.500
Si3 Si 0.500 0.000 0.000
Fe1 Fe 0.000 0.000 0.000
Pd1 Pd 0.500 0.500 0.500
# E above lowest polymorph in meV/atom: 0

=====

# Al2Ga2Mo | Alexandria | GGA-PBE | optimized geometry
data_Al2Ga2Mo
_chemical_formula_sum 'Al4 Ga4 Mo2'
_space_group_name_H-M_alt 'P 1'
_space_group_IT_number 1
_cell_length_a 6.769
_cell_length_b 6.769
_cell_length_c 3.542
_cell_angle_alpha 90.00
_cell_angle_beta 90.00
_cell_angle_gamma 90.00
loop_
_space_group_symop_operation_xyz
'x,y,z'
loop_
_atom_site_label
_atom_site_type_symbol
_atom_site_fract_x
_atom_site_fract_y
_atom_site_fract_z
Mo1 Mo 0.000 0.000 0.000
Mo2 Mo 0.500 0.500 0.000
Al1 Al 0.168 0.668 0.500
Al2 Al 0.668 0.832 0.500
Al3 Al 0.832 0.332 0.500
Al4 Al 0.332 0.168 0.500
Ga1 Ga 0.364 0.864 0.000
Ga2 Ga 0.864 0.636 0.000
Ga3 Ga 0.636 0.136 0.000
Ga4 Ga 0.136 0.364 0.000
# E_form in eV/atom: 0.118
# E above lowest polymorph in meV/atom: 0

=====

# TbPm3Sm3 | Alexandria | GGA-PBE | optimized geometry
data_TbPm3Sm3
_chemical_formula_sum 'Tb2 Pm6 Sm6'
_space_group_name_H-M_alt 'P 1'
_space_group_IT_number 1
_cell_length_a 5.825
_cell_length_b 9.730
_cell_length_c 9.730
_cell_angle_alpha 120.00
_cell_angle_beta 90.00
_cell_angle_gamma 90.00
loop_
_space_group_symop_operation_xyz
'x,y,z'
loop_
_atom_site_label
_atom_site_type_symbol
_atom_site_fract_x
_atom_site_fract_y
_atom_site_fract_z
Tb1 Tb 0.250 0.667 0.333
Tb2 Tb 0.750 0.333 0.667
Pm1 Pm 0.250 0.808 0.760
Pm2 Pm 0.250 0.240 0.047
Pm3 Pm 0.250 0.953 0.192
Pm4 Pm 0.750 0.192 0.240
Pm5 Pm 0.750 0.760 0.953
Pm6 Pm 0.750 0.047 0.808
Sm1 Sm 0.750 0.618 0.523
Sm2 Sm 0.750 0.477 0.095
Sm3 Sm 0.750 0.905 0.382
Sm4 Sm 0.250 0.382 0.477
Sm5 Sm 0.250 0.523 0.905
Sm6 Sm 0.250 0.095 0.618
# E_form in eV/atom: 0.024
# E above lowest polymorph in meV/atom: 0

=====

# Ca2ZnN | Alexandria | GGA-PBE | optimized geometry
data_Ca2ZnN
_chemical_formula_sum 'Ca4 Zn2 N2'
_space_group_name_H-M_alt 'P 1'
_space_group_IT_number 1
_cell_length_a 7.119
_cell_length_b 7.119
_cell_length_c 6.328
_cell_angle_alpha 55.77
_cell_angle_beta 55.77
_cell_angle_gamma 90.00
loop_
_space_group_symop_operation_xyz
'x,y,z'
loop_
_atom_site_label
_atom_site_type_symbol
_atom_site_fract_x
_atom_site_fract_y
_atom_site_fract_z
Zn1 Zn 0.000 0.000 0.000
Zn2 Zn 0.750 0.250 0.500
Ca1 Ca 0.523 0.125 0.250
Ca2 Ca 0.227 0.625 0.250
Ca3 Ca 0.375 0.477 0.750
Ca4 Ca 0.875 0.773 0.750
N1 N 0.500 0.500 0.000
N2 N 0.250 0.750 0.500
# E above lowest polymorph in meV/atom: 137

=====

# Tb6DyY2Th3 | Alexandria | GGA-PBE | optimized geometry
data_Tb6DyY2Th3
_chemical_formula_sum 'Tb6 Dy1 Y2 Th3'
_space_group_name_H-M_alt 'P 1'
_space_group_IT_number 1
_cell_length_a 6.188
_cell_length_b 6.188
_cell_length_c 11.788
_cell_angle_alpha 95.03
_cell_angle_beta 95.03
_cell_angle_gamma 119.97
loop_
_space_group_symop_operation_xyz
'x,y,z'
loop_
_atom_site_label
_atom_site_type_symbol
_atom_site_fract_x
_atom_site_fract_y
_atom_site_fract_z
Tb1 Tb 0.916 0.583 0.746
Tb2 Tb 0.752 0.752 0.254
Tb3 Tb 0.084 0.417 0.254
Tb4 Tb 0.583 0.916 0.746
Tb5 Tb 0.248 0.248 0.746
Tb6 Tb 0.417 0.084 0.254
Dy1 Dy 0.000 0.000 0.000
Y1 Y 0.333 0.667 0.000
Y2 Y 0.667 0.333 0.000
Th1 Th 0.167 0.833 0.500
Th2 Th 0.833 0.167 0.500
Th3 Th 0.500 0.500 0.500
# E_form in eV/atom: 0.024

=====

# La2UP3Rh4 | Alexandria | GGA-PBE | optimized geometry
data_La2UP3Rh4
_chemical_formula_sum 'La2 U1 P3 Rh4'
_space_group_name_H-M_alt 'P 1'
_space_group_IT_number 1
_cell_length_a 4.100
_cell_length_b 4.100
_cell_length_c 11.062
_cell_angle_alpha 90.00
_cell_angle_beta 90.00
_cell_angle_gamma 90.00
loop_
_space_group_symop_operation_xyz
'x,y,z'
loop_
_atom_site_label
_atom_site_type_symbol
_atom_site_fract_x
_atom_site_fract_y
_atom_site_fract_z
La1 La 0.500 0.000 0.227
La2 La 0.000 0.500 0.773
U1 U 0.500 0.500 0.500
P1 P 0.000 0.000 0.500
P2 P 0.500 0.000 0.876
P3 P 0.000 0.500 0.124
Rh1 Rh 0.500 0.500 0.000
Rh2 Rh 0.000 0.000 0.000
Rh3 Rh 0.500 0.000 0.659
Rh4 Rh 0.000 0.500 0.341
# E_form in eV/atom: -0.978

=====

# SrSn4Hg | Alexandria | GGA-PBE | optimized geometry
data_SrSn4Hg
_chemical_formula_sum 'Sr1 Sn4 Hg1'
_space_group_name_H-M_alt 'P 1'
_space_group_IT_number 1
_cell_length_a 4.853
_cell_length_b 6.672
_cell_length_c 6.672
_cell_angle_alpha 64.35
_cell_angle_beta 68.67
_cell_angle_gamma 68.67
loop_
_space_group_symop_operation_xyz
'x,y,z'
loop_
_atom_site_label
_atom_site_type_symbol
_atom_site_fract_x
_atom_site_fract_y
_atom_site_fract_z
Sr1 Sr 0.000 0.000 0.000
Sn1 Sn 0.665 0.544 0.125
Sn2 Sn 0.335 0.875 0.456
Sn3 Sn 0.335 0.456 0.875
Sn4 Sn 0.665 0.125 0.544
Hg1 Hg 0.000 0.500 0.500
# E_form in eV/atom: -0.267
# E above lowest polymorph in meV/atom: 0

=====

# Ni2TeBr | Alexandria | GGA-PBE | optimized geometry
data_Ni2TeBr
_chemical_formula_sum 'Ni2 Te1 Br1'
_space_group_name_H-M_alt 'P 1'
_space_group_IT_number 1
_cell_length_a 7.589
_cell_length_b 7.589
_cell_length_c 7.589
_cell_angle_alpha 152.93
_cell_angle_beta 152.93
_cell_angle_gamma 38.66
loop_
_space_group_symop_operation_xyz
'x,y,z'
loop_
_atom_site_label
_atom_site_type_symbol
_atom_site_fract_x
_atom_site_fract_y
_atom_site_fract_z
Br1 Br 0.750 0.250 0.500
Ni1 Ni 0.000 0.000 0.000
Ni2 Ni 0.250 0.750 0.500
Te1 Te 0.500 0.500 0.000
# E above lowest polymorph in meV/atom: 462

=====

| no. | electronic total energy (eV per atom) | magnetization (μB per formula unit) | theoretical density (g cm⁻³) |
| --- | --- | --- | --- |
| 1 | -5.763 | 0.00 | 5.10 |
| 2 | -4.756 | 0.00 | 5.92 |
| 3 | -4.695 | 0.00 | 7.27 |
| 4 | -3.697 | 0.00 | 2.73 |
| 5 | -5.607 | 0.00 | 8.58 |
| 6 | -7.656 | 2.44 | 9.11 |
| 7 | -3.267 | 0.00 | 7.21 |
| 8 | -3.719 | 0.85 | 5.97 |